Entry 1:
Here is a relaxed HgPtSO crystal from OQMD via LeMat-Bulk. Energies are from PBE-GGA.

Geometry as CIF:
```
data_HgPtSO
_symmetry_space_group_name_H-M 'P c a 21'
_symmetry_Int_Tables_number 29
_cell_length_a 6.469
_cell_length_b 14.230
_cell_length_c 6.477
_cell_angle_alpha 90.00
_cell_angle_beta 90.00
_cell_angle_gamma 90.00
loop_
_symmetry_equiv_pos_as_xyz
'x,y,z'
'-x,-y,z+1/2'
'-x+1/2,y,z+1/2'
'x+1/2,-y,z'
loop_
_atom_site_label
_atom_site_fract_x
_atom_site_fract_y
_atom_site_fract_z
_atom_site_occupancy
Hg1 0.000 0.001 0.000 1
Hg2 0.000 0.499 0.027 1
Pt1 0.003 0.203 0.762 1
Pt2 0.003 0.703 0.762 1
S1 0.250 0.253 0.012 1
S2 0.250 0.753 0.012 1
O1 0.160 0.550 0.275 1
O2 0.163 0.048 0.251 1
```



Entry 2:
Here is a relaxed HgPtSO crystal from OQMD via LeMat-Bulk. Energies are from PBE-GGA.

Geometry as CIF:
```
data_HgPtSO
_symmetry_space_group_name_H-M 'P c a 21'
_symmetry_Int_Tables_number 29
_cell_length_a 6.780
_cell_length_b 8.466
_cell_length_c 5.268
_cell_angle_alpha 90.00
_cell_angle_beta 90.00
_cell_angle_gamma 90.00
loop_
_symmetry_equiv_pos_as_xyz
'x,y,z'
'-x,-y,z+1/2'
'-x+1/2,y,z+1/2'
'x+1/2,-y,z'
loop_
_atom_site_label
_atom_site_fract_x
_atom_site_fract_y
_atom_site_fract_z
_atom_site_occupancy
Hg1 0.102 0.135 0.000 1
Pt1 0.173 0.729 0.045 1
S1 0.050 0.614 0.690 1
O1 0.054 0.108 0.539 1
```



Entry 3:
Here is a relaxed HgPtSO crystal from OQMD via LeMat-Bulk. Energies are from PBE-GGA.

Geometry as CIF:
```
data_HgPtSO
_symmetry_space_group_name_H-M 'P 21 21 21'
_symmetry_Int_Tables_number 19
_cell_length_a 5.163
_cell_length_b 7.017
_cell_length_c 8.741
_cell_angle_alpha 90.00
_cell_angle_beta 90.00
_cell_angle_gamma 90.00
loop_
_symmetry_equiv_pos_as_xyz
'x,y,z'
'-x+1/2,-y,z+1/2'
'x+1/2,-y+1/2,-z'
'-x,y+1/2,-z+1/2'
loop_
_atom_site_label
_atom_site_fract_x
_atom_site_fract_y
_atom_site_fract_z
_atom_site_occupancy
Hg1 0.065 0.181 0.415 1
Pt1 0.155 0.668 0.451 1
S1 0.068 0.920 0.599 1
O1 0.064 0.449 0.309 1
```



Entry 4:
Here is a relaxed HgPtSO crystal from OQMD via LeMat-Bulk. Energies are from PBE-GGA.

Geometry as CIF:
```
data_HgPtSO
_symmetry_space_group_name_H-M 'P 21 21 21'
_symmetry_Int_Tables_number 19
_cell_length_a 5.653
_cell_length_b 7.408
_cell_length_c 7.473
_cell_angle_alpha 90.00
_cell_angle_beta 90.00
_cell_angle_gamma 90.00
loop_
_symmetry_equiv_pos_as_xyz
'x,y,z'
'-x+1/2,-y,z+1/2'
'x+1/2,-y+1/2,-z'
'-x,y+1/2,-z+1/2'
loop_
_atom_site_label
_atom_site_fract_x
_atom_site_fract_y
_atom_site_fract_z
_atom_site_occupancy
Hg1 0.104 0.101 0.356 1
Pt1 0.088 0.197 0.822 1
S1 0.210 0.318 0.085 1
O1 0.194 0.817 0.120 1
```



Result set for ΔE to the lowest computed polymorph: 0.052; 0.051; 0.061; 0.131 eV per atom, one per record in the order listed.